(1)
{"formula": "Mn2ZnP", "functional": "PBE", "state": "relaxed", "cell": [[0.0000, 2.8426, 2.8426], [2.8426, 0.0000, 2.8426], [2.8426, 2.8426, 0.0000]], "species": ["Mn", "Mn", "Zn", "P"], "frac_coords": [[0.2500, 0.2500, 0.2500], [0.7500, 0.7500, 0.7500], [0.0000, 0.0000, 0.0000], [0.5000, 0.5000, 0.5000]]}

---

(2)
{"formula": "Mn2ZnP", "functional": "PBE", "state": "relaxed", "cell": [[0.0000, 2.9049, 2.9049], [2.9049, 0.0000, 2.9049], [2.9049, 2.9049, 0.0000]], "species": ["Mn", "Mn", "Zn", "P"], "frac_coords": [[0.0000, 0.0000, 0.0000], [0.2500, 0.2500, 0.2500], [0.7500, 0.7500, 0.7500], [0.5000, 0.5000, 0.5000]]}

---

(3)
{"formula": "MnZnP2", "functional": "PBE", "state": "relaxed", "cell": [[3.4367, 0.0000, 0.0000], [0.0000, 3.6900, 0.0000], [0.0000, 0.0000, 4.6266]], "species": ["Mn", "Zn", "P", "P"], "frac_coords": [[0.0000, 0.0000, 0.0000], [0.0000, 0.5000, 0.5000], [0.5000, 0.0000, 0.5000], [0.5000, 0.5000, 0.0000]]}

---

(4)
{"formula": "MnZnP2", "functional": "PBE", "state": "relaxed", "cell": [[2.7197, 0.0000, 0.0000], [0.0000, 3.5569, 0.0000], [0.0000, 0.0000, 6.6563]], "species": ["Mn", "Zn", "P", "P"], "frac_coords": [[0.0000, 0.0000, 0.0000], [0.5000, 0.5000, 0.4804], [0.0000, 0.0000, 0.6586], [0.5000, 0.5000, 0.1235]]}

---

(5)
{"formula": "Mn2ZnP", "functional": "PBE", "state": "relaxed", "cell": [[-1.6850, 2.1211, 3.5197], [1.6850, -2.1211, 3.5197], [1.6850, 2.1211, -3.5197]], "species": ["Mn", "Mn", "Zn", "P"], "frac_coords": [[0.2160, 0.2160, 0.0000], [0.7840, 0.7840, 0.0000], [0.5000, 0.0000, 0.5000], [0.0000, 0.5000, 0.5000]]}

---

(6)
{"formula": "MnZnP2", "functional": "PBE", "state": "relaxed", "cell": [[3.6372, -1.5316, 0.0000], [3.6372, 1.5316, 0.0000], [-0.6341, 0.0000, 4.9055]], "species": ["Mn", "Zn", "P", "P"], "frac_coords": [[0.0000, 0.0000, 0.0000], [0.5000, 0.5000, 0.5000], [0.2772, 0.2772, 0.8114], [0.7228, 0.7228, 0.1886]]}

---

| no. | E_form (meV per atom) | magnetization (μB/f.u.) |
| --- | --- | --- |
| 1 | 24 | 2.5 |
| 2 | 170 | 2.6 |
| 3 | 227 | 3.3 |
| 4 | -22 | 2.6 |
| 5 | -67 | 4.3 |
| 6 | 17 | 0.0 |